Record 1
Density functional theory data (GGA-PBE) for LiRh after structural relaxation.

Its mass density is 6.787 g/cm3. As for the symmetry: R-3m, No. 166. For the calculated formation energy, the calculation gives -182 meV/atom.

Lattice parameters (Å, degrees): 4.614 4.614 4.614 33.66 33.66 33.66
Fractional coordinates of all 2 atoms:
Rh (0.500, 0.500, 0.500)
Li (0.000, 0.000, 0.000)

***

Record 2
Density functional theory data (GGA-PBE) for Li5Rh after structural relaxation.

Its energy above the most stable polymorph in this dataset is 0.000 eV per atom. Its mass density is 2.564 g/cm3. As for the symmetry: C2/m, No. 12. For the calculated formation energy, the calculation gives -63 meV/atom.

Lattice parameters (Å, degrees): 4.389 5.075 5.344 120.15 90.00 115.62
Fractional coordinates of all 6 atoms:
Li (0.314, 0.629, 0.616)
Li (0.630, 0.260, 0.273)
Li (0.648, 0.296, 0.805)
Li (0.972, 0.944, 0.444)
Li (0.297, 0.594, 0.084)
Rh (0.972, 0.944, 0.944)

***

Record 3
Density functional theory data (GGA-PBE) for Li2Rh3 after structural relaxation.

Its energy above the most stable polymorph in this dataset is 0.000 eV per atom. Its mass density is 6.783 g/cm3. As for the symmetry: R-3c, No. 167. For the calculated formation energy, the calculation gives 80 meV/atom.

Lattice parameters (Å, degrees): 4.515 4.515 9.318 75.98 75.98 60.00
Fractional coordinates of all 10 atoms:
Li (0.167, 0.167, 0.499)
Li (0.667, 0.667, 0.999)
Li (0.833, 0.833, 0.501)
Li (0.333, 0.333, 0.001)
Rh (0.250, 0.915, 0.250)
Rh (0.585, 0.250, 0.250)
Rh (0.915, 0.585, 0.250)
Rh (0.415, 0.750, 0.750)
Rh (0.085, 0.415, 0.750)
Rh (0.750, 0.085, 0.750)

***

Record 4
Density functional theory data (GGA-PBE) for LiRh4 after structural relaxation.

Its energy above the most stable polymorph in this dataset is 0.758 eV per atom. Its mass density is 10.148 g/cm3. As for the symmetry: Pm-3m, No. 221. For the calculated formation energy, the calculation gives 712 meV/atom.

Lattice parameters (Å, degrees): 4.091 4.091 4.091 90.00 90.00 90.00
Fractional coordinates of all 5 atoms:
Rh (0.000, 0.000, 0.000)
Rh (0.500, 0.000, 0.500)
Rh (0.000, 0.500, 0.500)
Rh (0.500, 0.500, 0.000)
Li (0.500, 0.500, 0.500)

***

Record 5
Density functional theory data (GGA-PBE) for LiRh after structural relaxation.

Its mass density is 5.673 g/cm3. As for the symmetry: P4/mcc, No. 124. For the calculated formation energy, the calculation gives 95 meV/atom.

Lattice parameters (Å, degrees): 7.522 7.522 4.546 90.00 90.00 90.00
Last column: magnetic moment on the atom in μB.
Fractional coordinates of all 16 atoms:
Li (0.933, 0.306, 0.000)  0.00
Li (0.933, 0.694, 0.500)  0.00
Li (0.067, 0.306, 0.500)  0.00
Li (0.067, 0.694, 0.000)  0.00
Li (0.694, 0.067, 0.500)  0.00
Li (0.694, 0.933, 0.000)  0.00
Li (0.306, 0.067, 0.000)  0.00
Li (0.306, 0.933, 0.500)  0.00
Rh (0.726, 0.593, 0.000)  0.58
Rh (0.726, 0.407, 0.500)  0.58
Rh (0.274, 0.593, 0.500)  0.58
Rh (0.274, 0.407, 0.000)  0.58
Rh (0.407, 0.274, 0.500)  0.58
Rh (0.407, 0.726, 0.000)  0.58
Rh (0.593, 0.274, 0.000)  0.58
Rh (0.593, 0.726, 0.500)  0.58

***

Record 6
Density functional theory data (GGA-PBE) for LiRh after structural relaxation.

Its mass density is 6.824 g/cm3. As for the symmetry: P4_2/mnm, No. 136. For the calculated formation energy, the calculation gives 400 meV/atom.

Lattice parameters (Å, degrees): 4.766 4.766 4.707 90.00 90.00 90.00
Last column: magnetic moment on the atom in μB.
Fractional coordinates of all 8 atoms:
Li (0.195, 0.805, 0.000)  -0.02
Li (0.695, 0.695, 0.500)  -0.02
Li (0.305, 0.305, 0.500)  -0.02
Li (0.805, 0.195, 0.000)  -0.02
Rh (0.302, 0.302, 0.000)  0.73
Rh (0.802, 0.198, 0.500)  0.73
Rh (0.198, 0.802, 0.500)  0.73
Rh (0.698, 0.698, 0.000)  0.73

***

Record 7
Density functional theory data (GGA-PBE) for LiRh after structural relaxation.

Its mass density is 5.710 g/cm3. As for the symmetry: I4/m, No. 87. For the calculated formation energy, the calculation gives 89 meV/atom.

Lattice parameters (Å, degrees): 9.822 9.822 2.649 90.00 90.00 90.00
Fractional coordinates of all 16 atoms:
Li (0.377, 0.680, 0.000)
Li (0.623, 0.320, 0.000)
Li (0.320, 0.377, 0.000)
Li (0.680, 0.623, 0.000)
Li (0.877, 0.180, 0.500)
Li (0.123, 0.820, 0.500)
Li (0.820, 0.877, 0.500)
Li (0.180, 0.123, 0.500)
Rh (0.425, 0.146, 0.000)
Rh (0.575, 0.854, 0.000)
Rh (0.854, 0.425, 0.000)
Rh (0.146, 0.575, 0.000)
Rh (0.925, 0.646, 0.500)
Rh (0.075, 0.354, 0.500)
Rh (0.354, 0.925, 0.500)
Rh (0.646, 0.075, 0.500)

***

Record 8
Density functional theory data (GGA-PBE) for LiRh after structural relaxation.

Its mass density is 5.686 g/cm3. As for the symmetry: P6_3/mmc, No. 194. For the calculated formation energy, the calculation gives 876 meV/atom.

Lattice parameters (Å, degrees): 4.021 4.021 4.582 90.00 90.00 120.00
Fractional coordinates of all 4 atoms:
Li (0.333, 0.667, 0.250)
Li (0.667, 0.333, 0.750)
Rh (0.333, 0.667, 0.750)
Rh (0.667, 0.333, 0.250)

***

Record 9
Density functional theory data (GGA-PBE) for LiRh after structural relaxation.

Its mass density is 6.670 g/cm3. As for the symmetry: Cmcm, No. 63. For the calculated formation energy, the calculation gives -109 meV/atom.

Lattice parameters (Å, degrees): 5.085 5.085 4.245 90.00 90.00 150.12
Fractional coordinates of all 4 atoms:
Rh (0.799, 0.201, 0.750)
Rh (0.201, 0.799, 0.250)
Li (0.550, 0.450, 0.750)
Li (0.450, 0.550, 0.250)

***

Record 10
Density functional theory data (GGA-PBE) for LiRh after structural relaxation.

Its mass density is 3.080 g/cm3. As for the symmetry: I-43m, No. 217. For the calculated formation energy, the calculation gives 970 meV/atom.

Lattice parameters (Å, degrees): 7.796 7.796 7.796 90.00 90.00 90.00
Last column: magnetic moment on the atom in μB.
Fractional coordinates of all 16 atoms:
Li (0.195, 0.195, 0.195)  0.01
Li (0.195, 0.805, 0.805)  0.01
Li (0.805, 0.195, 0.805)  0.01
Li (0.805, 0.805, 0.195)  0.01
Li (0.695, 0.695, 0.695)  0.01
Li (0.695, 0.305, 0.305)  0.01
Li (0.305, 0.695, 0.305)  0.01
Li (0.305, 0.305, 0.695)  0.01
Rh (0.383, 0.383, 0.383)  0.89
Rh (0.383, 0.617, 0.617)  0.89
Rh (0.617, 0.383, 0.617)  0.89
Rh (0.617, 0.617, 0.383)  0.89
Rh (0.883, 0.883, 0.883)  0.89
Rh (0.883, 0.117, 0.117)  0.89
Rh (0.117, 0.883, 0.117)  0.89
Rh (0.117, 0.117, 0.883)  0.89

***

Record 11
Density functional theory data (GGA-PBE) for Li5Rh after structural relaxation.

Its energy above the most stable polymorph in this dataset is 0.010 eV per atom. Its mass density is 2.409 g/cm3. As for the symmetry: Amm2, No. 38. For the calculated formation energy, the calculation gives -53 meV/atom.

Lattice parameters (Å, degrees): 7.845 7.845 4.553 90.00 90.00 160.21
Last column: magnetic moment on the atom in μB.
Fractional coordinates of all 6 atoms:
Li (0.017, 0.983, 0.000)  0.00
Li (0.341, 0.659, 0.000)  0.01
Li (0.662, 0.338, 0.000)  -0.01
Li (0.453, 0.547, 0.500)  0.00
Li (0.755, 0.245, 0.500)  0.00
Rh (0.106, 0.894, 0.500)  0.45

***

Record 12
Density functional theory data (GGA-PBE) for LiRh after structural relaxation.

Its mass density is 6.834 g/cm3. As for the symmetry: Pnma, No. 62. For the calculated formation energy, the calculation gives -116 meV/atom.

Lattice parameters (Å, degrees): 8.992 4.409 5.386 90.00 90.00 90.00
Fractional coordinates of all 16 atoms:
Li (0.915, 0.250, 0.997)
Li (0.415, 0.250, 0.503)
Li (0.085, 0.750, 0.003)
Li (0.585, 0.750, 0.497)
Li (0.166, 0.250, 0.246)
Li (0.666, 0.250, 0.254)
Li (0.834, 0.750, 0.754)
Li (0.334, 0.750, 0.746)
Rh (0.916, 0.250, 0.496)
Rh (0.416, 0.250, 0.004)
Rh (0.084, 0.750, 0.504)
Rh (0.584, 0.750, 0.996)
Rh (0.170, 0.250, 0.744)
Rh (0.670, 0.250, 0.756)
Rh (0.830, 0.750, 0.256)
Rh (0.330, 0.750, 0.244)

***

Record 13
Density functional theory data (GGA-PBE) for Li7Rh after structural relaxation.

Its energy above the most stable polymorph in this dataset is 0.000 eV per atom. Its mass density is 1.929 g/cm3. As for the symmetry: I4/mmm, No. 139. For the calculated formation energy, the calculation gives -45 meV/atom.

Lattice parameters (Å, degrees): 4.496 4.496 7.193 108.21 108.21 90.00
Fractional coordinates of all 8 atoms:
Li (0.892, 0.392, 0.784)
Li (0.768, 0.768, 0.536)
Li (0.608, 0.108, 0.216)
Li (0.500, 0.500, 0.000)
Li (0.392, 0.892, 0.784)
Li (0.232, 0.232, 0.464)
Li (0.108, 0.608, 0.216)
Rh (0.000, 0.000, 0.000)

***

Record 14
Density functional theory data (GGA-PBE) for Li15Rh after structural relaxation.

Its mass density is 1.202 g/cm3. As for the symmetry: P-6m2, No. 187. For the calculated formation energy, the calculation gives 0 meV/atom.

Lattice parameters (Å, degrees): 5.891 5.891 9.515 90.00 90.00 120.00
Fractional coordinates of all 16 atoms:
Li (0.000, 0.000, 0.500)
Li (0.005, 0.502, 0.000)
Li (0.993, 0.497, 0.500)
Li (0.498, 0.995, 0.000)
Li (0.503, 0.007, 0.500)
Li (0.498, 0.502, 0.000)
Li (0.503, 0.497, 0.500)
Li (0.843, 0.157, 0.230)
Li (0.843, 0.157, 0.770)
Li (0.843, 0.687, 0.230)
Li (0.843, 0.687, 0.770)
Li (0.313, 0.157, 0.230)
Li (0.313, 0.157, 0.770)
Li (0.333, 0.667, 0.256)
Li (0.333, 0.667, 0.744)
Rh (0.000, 0.000, 0.000)

***

Record 15
Density functional theory data (GGA-PBE) for LiRh after structural relaxation.

Its mass density is 3.930 g/cm3. As for the symmetry: Pm-3n, No. 223. For the calculated formation energy, the calculation gives 1432 meV/atom.

Lattice parameters (Å, degrees): 6.530 6.530 6.530 90.00 90.00 90.00
Last column: magnetic moment on the atom in μB.
Fractional coordinates of all 12 atoms:
Li (0.250, 0.500, 0.000)  -0.02
Li (0.750, 0.500, 0.000)  -0.02
Li (0.500, 0.000, 0.250)  -0.02
Li (0.500, 0.000, 0.750)  -0.02
Li (0.000, 0.250, 0.500)  -0.02
Li (0.000, 0.750, 0.500)  -0.02
Rh (0.250, 0.000, 0.500)  0.78
Rh (0.750, 0.000, 0.500)  0.78
Rh (0.000, 0.500, 0.250)  0.78
Rh (0.000, 0.500, 0.750)  0.78
Rh (0.500, 0.250, 0.000)  0.78
Rh (0.500, 0.750, 0.000)  0.78

***

Record 16
Density functional theory data (GGA-PBE) for LiRh after structural relaxation.

Its mass density is 7.108 g/cm3. As for the symmetry: P2_13, No. 198. For the calculated formation energy, the calculation gives 60 meV/atom.

Lattice parameters (Å, degrees): 4.682 4.682 4.682 90.00 90.00 90.00
Fractional coordinates of all 8 atoms:
Li (0.401, 0.401, 0.599)
Li (0.099, 0.599, 0.099)
Li (0.599, 0.901, 0.901)
Li (0.901, 0.099, 0.401)
Rh (0.105, 0.105, 0.895)
Rh (0.395, 0.895, 0.395)
Rh (0.895, 0.605, 0.605)
Rh (0.605, 0.395, 0.105)

***

Record 17
Density functional theory data (GGA-PBE) for LiRh after structural relaxation.

Its mass density is 6.703 g/cm3. As for the symmetry: C2/m, No. 12. For the calculated formation energy, the calculation gives -139 meV/atom.

Lattice parameters (Å, degrees): 5.238 4.977 2.682 74.37 75.16 54.59
Last column: magnetic moment on the atom in μB.
Fractional coordinates of all 4 atoms:
Rh (0.486, 0.507, 0.504)  0.32
Rh (0.431, 0.076, 0.246)  0.32
Li (0.995, 0.012, 0.996)  -0.01
Li (0.922, 0.571, 0.754)  -0.01

***

Record 18
Density functional theory data (GGA-PBE) for Li2Rh after structural relaxation.

Its mass density is 4.514 g/cm3. As for the symmetry: I4/mmm, No. 139. For the calculated formation energy, the calculation gives -78 meV/atom.

Lattice parameters (Å, degrees): 5.932 5.932 5.932 153.00 153.00 38.56
Fractional coordinates of all 3 atoms:
Rh (0.000, 0.000, 0.000)
Li (0.651, 0.651, 0.000)
Li (0.349, 0.349, 0.000)

***

Record 19
Density functional theory data (GGA-PBE) for Li7Rh after structural relaxation.

Its energy above the most stable polymorph in this dataset is 0.021 eV per atom. Its mass density is 2.018 g/cm3. As for the symmetry: Fm-3m, No. 225. For the calculated formation energy, the calculation gives -24 meV/atom.

Lattice parameters (Å, degrees): 5.607 5.607 5.607 60.00 60.00 60.00
Fractional coordinates of all 8 atoms:
Li (0.500, 0.500, 0.000)
Li (0.500, 0.000, 0.500)
Li (0.000, 0.500, 0.500)
Li (0.500, 0.000, 0.000)
Li (0.000, 0.500, 0.000)
Li (0.000, 0.000, 0.500)
Li (0.500, 0.500, 0.500)
Rh (0.000, 0.000, 0.000)

***

Record 20
Density functional theory data (GGA-PBE) for Li2Rh after structural relaxation.

Its mass density is 4.958 g/cm3. As for the symmetry: P6_3/mmc, No. 194. For the calculated formation energy, the calculation gives 31 meV/atom.

Lattice parameters (Å, degrees): 4.259 4.259 4.979 90.00 90.00 120.00
Last column: magnetic moment on the atom in μB.
Fractional coordinates of all 6 atoms:
Li (0.000, 0.000, 0.000)  0.00
Li (0.000, 0.000, 0.500)  0.00
Li (0.333, 0.667, 0.250)  -0.01
Li (0.667, 0.333, 0.750)  -0.01
Rh (0.667, 0.333, 0.250)  0.26
Rh (0.333, 0.667, 0.750)  0.26